No. 1
This record from the Alexandria database describes a relaxed structure of TbPr12Nd7. The functional is PBE.

CIF file:
```
data_TbPr12Nd7
_chemical_formula_sum 'Tb3 Pr36 Nd21'
_cell_length_a 12.4929
_cell_length_b 12.4929
_cell_length_c 16.0513
_cell_angle_alpha 90.00
_cell_angle_beta 90.00
_cell_angle_gamma 120.00
_symmetry_space_group_name_H-M 'R -3'
_symmetry_Int_Tables_number 148
_symmetry_space_group_name_Hall '-R 3'
loop_
_atom_site_label
_atom_site_type_symbol
_atom_site_fract_x
_atom_site_fract_y
_atom_site_fract_z
_atom_site_occupancy
Tb1 Tb 0.0000 0.0000 0.0000 1
Pr1 Pr 0.0231 0.4454 0.7213 1
Pr2 Pr 0.0584 0.5906 0.0807 1
Nd1 Nd 0.0000 0.0000 0.5000 1
Nd2 Nd 0.0570 0.1868 0.7967 1
```

* E above lowest polymorph: 0 meV/atom
* N(E_F): 2.011 states/eV/atom
* calculated volume: 36.16 Å³/atom
* calculated density: 6.6 g cm⁻³


No. 2
This record from the Alexandria database describes a relaxed structure of Sr3InIr. The functional is PBE.

CIF file:
```
data_Sr3InIr
_chemical_formula_sum 'Sr3 In1 Ir1'
_cell_length_a 5.7937
_cell_length_b 5.7937
_cell_length_c 5.7937
_cell_angle_alpha 90.00
_cell_angle_beta 90.00
_cell_angle_gamma 90.00
_symmetry_space_group_name_H-M 'P m -3 m'
_symmetry_Int_Tables_number 221
_symmetry_space_group_name_Hall '-P 4 2 3'
loop_
_atom_site_label
_atom_site_type_symbol
_atom_site_fract_x
_atom_site_fract_y
_atom_site_fract_z
_atom_site_occupancy
Sr1 Sr 0.0000 0.0000 0.5000 1
In1 In 0.5000 0.5000 0.5000 1
Ir1 Ir 0.0000 0.0000 0.0000 1
```

* E above lowest polymorph: 87 meV/atom
* N(E_F): 0.658 states/eV/atom
* calculated volume: 38.90 Å³/atom
* calculated density: 4.9 g cm⁻³